(1)
A relaxed structure of Er3TmTl4S8. Source: Alexandria via LeMat-Bulk, functional PBE-GGA.

Values from the calculation:
The calculation puts the total energy at -5.28 eV/atom. As for the total magnetic moment: 0.00 μB/f.u. The value obtained for the theoretical density is 6.981 Mg/m³. For the raw formation energy, the calculation gives -1490 meV per atom.

```
data_Er3TmTl4S8
_chemical_formula_sum 'Er9 Tm3 Tl12 S24'
_space_group_name_H-M_alt 'R -3 m'
_space_group_IT_number 166
_space_group_name_Hall '-R 3 2"'
_cell_length_a 7.9795
_cell_length_b 7.9795
_cell_length_c 22.5779
_cell_angle_alpha 90.00
_cell_angle_beta 90.00
_cell_angle_gamma 120.00
loop_
_atom_site_label
_atom_site_type_symbol
_atom_site_fract_x
_atom_site_fract_y
_atom_site_fract_z
Er1 Er 0.0000 0.5000 0.0000
Tm1 Tm 0.0000 0.0000 0.0000
Tl1 Tl 0.0000 0.0000 0.5000
Tl2 Tl 0.0000 0.5000 0.5000
S1 S 0.0000 0.0000 0.2679
S2 S 0.0011 0.5006 0.7319
```



(2)
A relaxed structure of ErTm2Tl3S6. Source: Alexandria via LeMat-Bulk, functional PBE-GGA.

Values from the calculation:
The calculation puts the total energy at -5.27 eV/atom. As for the total magnetic moment: 0.00 μB/f.u. The value obtained for the theoretical density is 7.019 Mg/m³. For the raw formation energy, the calculation gives -1489 meV per atom.

```
data_ErTm2Tl3S6
_chemical_formula_sum 'Er2 Tm4 Tl6 S12'
_space_group_name_H-M_alt 'C 1 2/m 1'
_space_group_IT_number 12
_cell_length_a 6.897
_cell_length_b 11.946
_cell_length_c 7.871
_cell_angle_alpha 90.00
_cell_angle_beta 106.99
_cell_angle_gamma 90.00
loop_
_space_group_symop_operation_xyz
'x,y,z'
'-x,-y,-z'
'-x,y,-z'
'x,-y,z'
'x+1/2,y+1/2,z'
'-x+1/2,-y+1/2,-z'
'-x+1/2,y+1/2,-z'
'x+1/2,-y+1/2,z'
loop_
_atom_site_label
_atom_site_type_symbol
_atom_site_fract_x
_atom_site_fract_y
_atom_site_fract_z
Er1 Er 0.000 0.000 0.000
Tm1 Tm 0.000 0.333 0.000
Tl1 Tl 0.000 0.167 0.500
Tl2 Tl 0.000 0.500 0.500
S1 S 0.231 0.500 0.195
S2 S 0.232 0.167 0.195
```



(3)
A relaxed structure of ErTm3Tl4S8. Source: Alexandria via LeMat-Bulk, functional PBE-GGA.

Values from the calculation:
The calculation puts the total energy at -5.27 eV/atom. As for the total magnetic moment: 0.00 μB/f.u. The value obtained for the theoretical density is 7.027 Mg/m³. For the raw formation energy, the calculation gives -1489 meV per atom.

```
data_ErTm3Tl4S8
_chemical_formula_sum 'Er3 Tm9 Tl12 S24'
_space_group_name_H-M_alt 'R -3 m'
_space_group_IT_number 166
_space_group_name_Hall '-R 3 2"'
_cell_length_a 7.9599
_cell_length_b 7.9599
_cell_length_c 22.5840
_cell_angle_alpha 90.00
_cell_angle_beta 90.00
_cell_angle_gamma 120.00
loop_
_atom_site_label
_atom_site_type_symbol
_atom_site_fract_x
_atom_site_fract_y
_atom_site_fract_z
Er1 Er 0.0000 0.0000 0.0000
Tm1 Tm 0.0000 0.5000 0.0000
Tl1 Tl 0.0000 0.0000 0.5000
Tl2 Tl 0.0000 0.5000 0.5000
S1 S 0.0000 0.0000 0.2683
S2 S 0.0011 0.5005 0.2682
```